Entry 1:
VASP calculation (GGA-PBE) on a relaxed structure of ZrTl2Cu.

Cell and atoms, written as POSCAR:
```
ZrTl2Cu
1.0
0.000 3.505 3.505
3.505 0.000 3.505
3.505 3.505 0.000
Tl Zr Cu
2 1 1
Direct
0.250 0.250 0.250
0.750 0.750 0.750
0.500 0.500 0.500
0.000 0.000 0.000
```

Properties
formation enthalpy at 0 K = 0.311 eV/atom
energy above the most stable polymorph in this dataset = 0.2333 eV per atom
density of states at the Fermi level = 0.91 states/eV/atom

Entry 2:
VASP calculation (GGA-PBE) on a relaxed structure of Tb12SmY7.

Cell and atoms, written as POSCAR:
```
Tb12SmY7
1.0
-1.514 5.234 6.858
-2.183 -6.647 5.269
8.128 -0.878 3.143
Tb Y Sm
12 7 1
Direct
0.573 0.898 0.653
0.756 0.353 0.230
0.770 0.244 0.647
0.898 0.653 0.573
0.347 0.427 0.102
0.353 0.230 0.756
0.244 0.647 0.770
0.647 0.770 0.244
0.427 0.102 0.347
0.230 0.756 0.353
0.653 0.573 0.898
0.102 0.347 0.427
0.996 0.635 0.119
0.635 0.119 0.996
0.365 0.881 0.004
0.004 0.365 0.881
0.119 0.996 0.635
0.881 0.004 0.365
0.500 0.500 0.500
0.000 0.000 0.000
```

Properties
formation enthalpy at 0 K = 0.246 eV/atom
energy above the most stable polymorph in this dataset = 0.0000 eV per atom
density of states at the Fermi level = 1.91 states/eV/atom

Entry 3:
VASP calculation (GGA-PBE) on a relaxed structure of Ca5NdTl3.

Cell and atoms, written as POSCAR:
```
Ca5NdTl3
1.0
7.234 0.000 0.000
0.000 9.571 0.000
0.000 -4.785 8.288
Ca Tl Nd
10 6 2
Direct
0.500 0.333 0.667
0.250 0.000 0.659
0.750 0.659 0.659
0.250 0.341 0.341
0.250 0.659 0.000
0.000 0.667 0.333
0.500 0.667 0.333
0.000 0.333 0.667
0.750 0.000 0.341
0.750 0.341 0.000
0.250 0.322 0.000
0.750 0.321 0.322
0.250 0.679 0.678
0.250 0.000 0.322
0.750 0.678 0.000
0.750 0.000 0.678
0.500 0.000 0.000
0.000 0.000 0.000
```

Properties
formation enthalpy at 0 K = -0.304 eV/atom
density of states at the Fermi level = 1.43 states/eV/atom

Entry 4:
VASP calculation (GGA-PBE) on a relaxed structure of BaLiTl2Sn.

Cell and atoms, written as POSCAR:
```
BaLiTl2Sn
1.0
-1.408 5.049 1.027
-2.318 0.330 -4.801
-4.580 -1.703 2.094
Tl Sn Li Ba
2 1 1 1
Direct
0.500 0.000 0.000
0.000 0.500 0.000
0.000 0.000 0.500
0.000 0.000 0.000
0.500 0.500 0.500
```

Properties
formation enthalpy at 0 K = -0.274 eV/atom
density of states at the Fermi level = 0.33 states/eV/atom

Entry 5:
VASP calculation (GGA-PBE) on a relaxed structure of BaIn4Pd2Pt.

Cell and atoms, written as POSCAR:
```
BaIn4Pd2Pt
1.0
-3.869 -2.342 0.954
0.105 -4.611 0.301
0.809 -1.610 10.528
In Ba Pd Pt
4 1 2 1
Direct
0.135 0.135 0.596
0.593 0.593 0.222
0.865 0.865 0.404
0.407 0.407 0.778
0.000 0.000 0.000
0.230 0.230 0.311
0.770 0.770 0.689
0.500 0.500 0.500
```

Properties
formation enthalpy at 0 K = -0.502 eV/atom
density of states at the Fermi level = 0.45 states/eV/atom

Entry 6:
VASP calculation (GGA-PBE) on a relaxed structure of YAuI2.

Cell and atoms, written as POSCAR:
```
YAuI2
1.0
3.727 -3.840 0.852
-0.421 -4.787 -2.504
3.485 -1.315 -3.935
I Au Y
2 1 1
Direct
0.750 0.750 0.750
0.250 0.250 0.250
0.500 0.500 0.500
0.000 0.000 0.000
```

Properties
energy relative to the elements, uncorrected = -0.51 eV/atom
energy above the most stable polymorph in this dataset = 0.2218 eV per atom
density of states at the Fermi level = 0.03 states/eV/atom

Entry 7:
VASP calculation (GGA-PBE) on a relaxed structure of Ta2CdRh.

Cell and atoms, written as POSCAR:
```
Ta2CdRh
1.0
7.548 0.000 0.000
0.000 7.548 0.000
3.774 3.774 2.718
Ta Cd Rh
4 2 2
Direct
0.170 0.625 0.250
0.580 0.125 0.250
0.875 0.830 0.750
0.375 0.420 0.750
0.000 0.000 0.000
0.750 0.250 0.500
0.500 0.500 0.000
0.250 0.750 0.500
```

Properties
formation enthalpy at 0 K = 0.398 eV/atom
density of states at the Fermi level = 1.06 states/eV/atom

Entry 8:
VASP calculation (GGA-PBE) on a relaxed structure of GdPuThCd.

Cell and atoms, written as POSCAR:
```
GdPuThCd
1.0
5.421 0.000 0.000
2.710 4.695 0.000
2.710 1.565 4.426
Cd Pu Th Gd
1 1 1 1
Direct
0.750 0.750 0.750
0.250 0.250 0.250
0.500 0.500 0.500
0.000 0.000 0.000
```

Properties
formation enthalpy at 0 K = 0.084 eV/atom
density of states at the Fermi level = 4.19 states/eV/atom

Entry 9:
VASP calculation (GGA-PBE) on a relaxed structure of TlSe4.

Cell and atoms, written as POSCAR:
```
TlSe4
1.0
-3.941 2.558 2.558
-3.597 -3.168 -2.375
0.379 -3.469 4.054
Se Tl
4 1
Direct
0.000 0.000 0.000
0.000 0.500 0.500
0.500 0.500 0.000
0.500 0.000 0.500
0.500 0.500 0.500
```

Properties
energy relative to the elements, uncorrected = 0.93 eV/atom
energy above the most stable polymorph in this dataset = 0.3727 eV per atom
density of states at the Fermi level = 1.18 states/eV/atom

Entry 10:
VASP calculation (GGA-PBE) on a relaxed structure of TbSc5Tl3.

Cell and atoms, written as POSCAR:
```
TbSc5Tl3
1.0
-3.058 6.015 -4.190
-5.608 -4.843 -2.860
0.038 1.104 9.086
Tl Sc Tb
6 10 2
Direct
0.121 0.379 0.000
0.750 0.750 0.500
0.379 0.879 0.000
0.250 0.250 0.500
0.621 0.121 0.000
0.879 0.621 0.000
0.000 0.000 0.000
0.141 0.076 0.717
0.576 0.641 0.717
0.424 0.359 0.283
0.076 0.576 0.717
0.359 0.859 0.283
0.641 0.141 0.717
0.859 0.924 0.283
0.500 0.500 0.000
0.924 0.424 0.283
0.250 0.750 0.500
0.750 0.250 0.500
```

Properties
formation enthalpy at 0 K = 0.078 eV/atom
energy above the most stable polymorph in this dataset = 0.3416 eV per atom
density of states at the Fermi level = 1.41 states/eV/atom

Entry 11:
VASP calculation (GGA-PBE) on a relaxed structure of NdZn2B2O6.

Cell and atoms, written as POSCAR:
```
NdZn2B2O6
1.0
5.063 0.000 0.000
-2.532 4.385 0.000
0.000 0.000 7.277
B O Nd Zn
2 6 1 2
Direct
0.333 0.667 0.790
0.667 0.333 0.210
0.398 0.055 0.204
0.055 0.657 0.796
0.657 0.602 0.204
0.945 0.343 0.204
0.343 0.398 0.796
0.602 0.945 0.796
0.000 0.000 0.000
0.333 0.667 0.313
0.667 0.333 0.687
```

Properties
energy relative to the elements, uncorrected = -2.14 eV/atom
density of states at the Fermi level = 0.19 states/eV/atom

Entry 12:
VASP calculation (GGA-PBE) on a relaxed structure of Li2Al8Ni3.

Cell and atoms, written as POSCAR:
```
Li2Al8Ni3
1.0
-3.857 1.484 -0.127
-2.284 -5.453 5.684
2.459 6.504 1.301
Al Ni Li
8 3 2
Direct
0.000 0.875 0.752
0.000 0.125 0.248
0.500 0.381 0.242
0.500 0.619 0.758
0.000 0.379 0.758
0.000 0.621 0.242
0.500 0.138 0.757
0.500 0.862 0.243
0.500 0.000 0.000
0.000 0.246 0.000
0.000 0.754 0.000
0.500 0.757 0.514
0.500 0.243 0.486
```

Properties
formation enthalpy at 0 K = -0.247 eV/atom
density of states at the Fermi level = 0.45 states/eV/atom

Q: Look up the density of states at the Fermi level of the eleventh one.
A: 0.19 states/eV/atom

Q: Which value of density of states at the Fermi level does entry 2 give?
A: 1.91 states/eV/atom